Entry 1:
A plane-wave DFT calculation with PBE-GGA was carried out for a geometry-optimized Tb4SnPbSe2 structure.

Structure (POSCAR):
```
Tb4SnPbSe2
1.0
7.348 0.000 0.000
0.000 4.251 0.000
-2.449 0.000 7.093
Tb Sn Pb Se
4 1 1 2
direct
0.244 0.000 0.238
0.251 0.500 0.760
0.749 0.500 0.240
0.756 0.000 0.762
0.000 0.000 0.500
0.500 0.500 0.500
0.000 0.500 0.000
0.500 0.000 0.000
```

The spin magnetization comes out at 0.000 μB/atom. The calculation puts the volume at 221.57 Å³ per cell. The symmetry is P2/m, No. 10.


Entry 2:
A plane-wave DFT calculation with PBE-GGA was carried out for a geometry-optimized TbSn2PbSe4 structure.

Structure (POSCAR):
```
TbSn2PbSe4
1.0
7.541 0.000 0.000
0.000 4.034 0.000
-1.856 0.000 7.474
Tb Sn Pb Se
1 2 1 4
direct
0.000 0.000 0.000
0.500 0.000 0.500
0.500 0.500 0.000
0.000 0.500 0.500
0.224 0.500 0.216
0.253 0.000 0.762
0.747 0.000 0.238
0.776 0.500 0.784
```

The spin magnetization comes out at 0.000 μB/atom. The calculation puts the volume at 227.33 Å³ per cell. The symmetry is P2/m, No. 10.


Entry 3:
A plane-wave DFT calculation with PBE-GGA was carried out for a geometry-optimized Sn2TePbSe2 structure.

Structure (POSCAR):
```
Sn2TePbSe2
1.0
9.332 -3.199 0.000
9.332 3.199 0.000
0.000 0.000 6.381
Sn Te Pb Se
4 2 2 4
direct
0.049 0.610 0.500
0.390 0.951 0.500
0.610 0.049 0.000
0.951 0.390 0.000
0.252 0.748 0.538
0.748 0.252 0.038
0.250 0.750 0.031
0.750 0.250 0.531
0.052 0.612 0.053
0.388 0.948 0.053
0.612 0.052 0.553
0.948 0.388 0.553
```

The spin magnetization comes out at 0.000 μB/atom. The calculation puts the volume at 381.03 Å³ per cell. The symmetry is Cmc2_1, No. 36.


What formation energy from raw total energies values result from the calculations? In sequence: -1.1762; -0.7681; -0.4017 eV per atom.